This record from Alexandria via LeMat-Bulk describes a relaxed NaNbCu2S crystal. The functional is GGA-PBE.

Cell lengths 4.4375, 4.4375, 4.8718 Å; angles 90.00, 90.00, 90.00 degrees
With the nearest neighbours (Å) after each atom.
Fractional coordinates of all 5 atoms:
Na (0.0000, 0.0000, 0.5000)  2 S 2.44
Nb (0.5000, 0.5000, 0.5000)  4 Na 3.14, 8 Cu 3.29
S (0.0000, 0.0000, 0.0000)  4 Cu 2.22, 2 Na 2.44
Cu (0.0000, 0.5000, 0.0000)  2 S 2.22
Cu (0.5000, 0.0000, 0.0000)  2 S 2.22

Output
SG = P4/mmm
Uncorrected formation energy = 805 meV/atom
Crystal system = tetragonal

=====

This record from Alexandria via LeMat-Bulk describes a relaxed Na2Nb2CuS6 crystal. The functional is GGA-PBE.

Cell lengths 6.2131, 6.2131, 6.9431 Å; angles 97.83, 97.83, 118.77 degrees
With the nearest neighbours (Å) after each atom.
Fractional coordinates of all 11 atoms:
Na (0.8232, 0.1768, 0.0000)  6 S 2.84-2.91
Na (0.1768, 0.8232, 0.0000)  6 S 2.84-2.91
Nb (0.3512, 0.6488, 0.5000)  6 S 2.43-2.58
Nb (0.6488, 0.3512, 0.5000)  6 S 2.43-2.58
Cu (0.0000, 0.0000, 0.5000)  4 S 2.44
S (0.7054, 0.7054, 0.7424)  2 Nb 2.43
S (0.0543, 0.3889, 0.6938)  1 Cu 2.44, 2 Nb 2.49-2.58
S (0.2946, 0.2946, 0.2576)  2 Nb 2.43
S (0.3889, 0.0543, 0.6938)  1 Cu 2.44, 2 Nb 2.49-2.58
S (0.9457, 0.6111, 0.3062)  1 Cu 2.44, 2 Nb 2.49-2.58
S (0.6111, 0.9457, 0.3062)  1 Cu 2.44, 2 Nb 2.49-2.58

Output
SG = C2/m
Uncorrected formation energy = -853 meV/atom
Crystal system = monoclinic

=====

This record from Alexandria via LeMat-Bulk describes a relaxed Na2NbCuS4 crystal. The functional is GGA-PBE.

Cell lengths 6.7702, 7.4716, 7.8256 Å; angles 90.00, 90.00, 90.00 degrees
With the nearest neighbours (Å) after each atom.
Fractional coordinates of all 16 atoms:
Na (0.5038, 0.3126, 0.2517)  4 S 2.76-2.81
Na (0.5038, 0.3126, 0.7483)  4 S 2.76-2.81
Na (0.0038, 0.6874, 0.7517)  4 S 2.76-2.81
Na (0.0038, 0.6874, 0.2483)  4 S 2.76-2.81
Nb (0.4983, 0.8360, 0.5000)  4 S 2.28-2.33
Nb (0.9983, 0.1640, 0.0000)  4 S 2.28-2.33
Cu (0.9957, 0.1662, 0.5000)  4 S 2.32-2.34
Cu (0.4957, 0.8338, 0.0000)  4 S 2.32-2.34
S (0.3295, 0.1060, 0.0000)  1 Nb 2.28, 1 Cu 2.32
S (0.8295, 0.8940, 0.5000)  1 Nb 2.28, 1 Cu 2.32
S (0.3307, 0.1019, 0.5000)  1 Nb 2.29, 1 Cu 2.32
S (0.8307, 0.8981, 0.0000)  1 Nb 2.29, 1 Cu 2.32
S (0.4190, 0.6798, 0.7486)  1 Nb 2.33, 1 Cu 2.34
S (0.9190, 0.3202, 0.2486)  1 Nb 2.33, 1 Cu 2.34
S (0.9190, 0.3202, 0.7514)  1 Nb 2.33, 1 Cu 2.34
S (0.4190, 0.6798, 0.2514)  1 Nb 2.33, 1 Cu 2.34

Output
SG = Pmn2_1
Uncorrected formation energy = -884 meV/atom
Crystal system = orthorhombic

=====

This record from Alexandria via LeMat-Bulk describes a relaxed NaNbCu2Se4 crystal. The functional is GGA-PBE.

Cell lengths 5.8772, 7.2057, 7.2057 Å; angles 61.43, 65.93, 65.93 degrees
With the nearest neighbours (Å) after each atom.
Fractional coordinates of all 8 atoms:
Na (0.0000, 0.0000, 0.0000)  4 Se 2.98
Nb (0.0000, 0.5000, 0.5000)  4 Se 2.46
Cu (0.5000, 0.6656, 0.3344)  2 Se 2.29, 1 Cu 2.44
Cu (0.5000, 0.3344, 0.6656)  2 Se 2.29, 1 Cu 2.44
Se (0.6456, 0.4433, 0.8383)  1 Cu 2.29, 1 Nb 2.46
Se (0.3544, 0.1617, 0.5567)  1 Cu 2.29, 1 Nb 2.46
Se (0.9273, 0.5567, 0.1617)  1 Cu 2.29, 1 Nb 2.46
Se (0.0727, 0.8383, 0.4433)  1 Cu 2.29, 1 Nb 2.46

Output
SG = I222
Uncorrected formation energy = -508 meV/atom
Crystal system = orthorhombic

=====

This record from Alexandria via LeMat-Bulk describes a relaxed Na2NbCuSe4 crystal. The functional is GGA-PBE.

Cell lengths 6.2204, 6.3112, 6.3112 Å; angles 75.94, 60.47, 60.47 degrees
With the nearest neighbours (Å) after each atom.
Fractional coordinates of all 8 atoms:
Na (0.0000, 0.5000, 0.5000)  2 Na 3.11, 8 Se 3.25-3.28
Na (0.5000, 0.5000, 0.5000)  2 Na 3.11, 8 Se 3.25-3.28
Nb (0.5000, 0.0000, 0.0000)  4 Se 2.45
Cu (0.0000, 0.0000, 0.0000)  4 Se 2.49
Se (0.0802, 0.3495, 0.0000)  1 Nb 2.45, 1 Cu 2.49
Se (0.9198, 0.0000, 0.6505)  1 Nb 2.45, 1 Cu 2.49
Se (0.5704, 0.0000, 0.3495)  1 Nb 2.45, 1 Cu 2.49
Se (0.4296, 0.6505, 0.0000)  1 Nb 2.45, 1 Cu 2.49

Output
SG = I-42m
Uncorrected formation energy = -747 meV/atom
Crystal system = tetragonal

=====

This record from Alexandria via LeMat-Bulk describes a relaxed Na2Nb2CuSe6 crystal. The functional is GGA-PBE.

Cell lengths 6.4951, 6.4951, 7.2751 Å; angles 97.69, 97.69, 118.55 degrees
With the nearest neighbours (Å) after each atom.
Fractional coordinates of all 11 atoms:
Na (0.8179, 0.1821, 0.0000)  6 Se 2.97-3.06
Na (0.1821, 0.8179, 0.0000)  6 Se 2.97-3.06
Nb (0.3569, 0.6431, 0.5000)  6 Se 2.54-2.72
Nb (0.6431, 0.3569, 0.5000)  6 Se 2.54-2.72
Cu (0.0000, 0.0000, 0.5000)  4 Se 2.54
Se (0.7040, 0.7040, 0.7522)  2 Nb 2.54
Se (0.0484, 0.3841, 0.6917)  1 Cu 2.54, 2 Nb 2.64-2.72
Se (0.2960, 0.2960, 0.2478)  2 Nb 2.54
Se (0.3841, 0.0484, 0.6917)  1 Cu 2.54, 2 Nb 2.64-2.72
Se (0.9516, 0.6159, 0.3083)  1 Cu 2.54, 2 Nb 2.64-2.72
Se (0.6159, 0.9516, 0.3083)  1 Cu 2.54, 2 Nb 2.64-2.72

Output
SG = C2/m
Uncorrected formation energy = -710 meV/atom
Crystal system = monoclinic

=====

This record from Alexandria via LeMat-Bulk describes a relaxed NaZr2NbCu crystal. The functional is GGA-PBE.

Cell lengths 5.0196, 4.8032, 5.0196 Å; angles 90.00, 90.00, 90.00 degrees
With the nearest neighbours (Å) after each atom.
Fractional coordinates of all 5 atoms:
Na (0.5000, 0.5000, 0.5000)  8 Zr 3.47, 4 Nb 3.55
Nb (0.0000, 0.5000, 0.0000)  2 Cu 2.40
Cu (0.0000, 0.0000, 0.0000)  2 Nb 2.40, 4 Zr 2.51
Zr (0.0000, 0.0000, 0.5000)  2 Cu 2.51
Zr (0.5000, 0.0000, 0.0000)  2 Cu 2.51

Output
SG = P4/mmm
Crystal system = tetragonal
ΔH_f (0 K) = 891 meV/atom

=====

This record from Alexandria via LeMat-Bulk describes a relaxed NaNdCu10 crystal. The functional is GGA-PBE.

Cell lengths 4.0698, 5.0908, 8.7741 Å; angles 90.00, 90.00, 90.00 degrees
With the nearest neighbours (Å) after each atom.
Fractional coordinates of all 12 atoms:
Na (0.0000, 0.5000, 0.5000)  6 Cu 2.85-2.91
Nd (0.0000, 0.0000, 0.0000)  18 Cu 2.97-3.26
Cu (0.0000, 0.0000, 0.3398)  6 Cu 2.47-2.52
Cu (0.0000, 0.5000, 0.8245)  6 Cu 2.50-2.55
Cu (0.0000, 0.5000, 0.1755)  6 Cu 2.50-2.55
Cu (0.0000, 0.0000, 0.6602)  6 Cu 2.47-2.52
Cu (0.5000, 0.0000, 0.5000)  8 Cu 2.47-2.53
Cu (0.5000, 0.5000, 0.0000)  8 Cu 2.54-2.55
Cu (0.5000, 0.2464, 0.2493)  8 Cu 2.50-2.58
Cu (0.5000, 0.7536, 0.7507)  8 Cu 2.50-2.58
Cu (0.5000, 0.7536, 0.2493)  8 Cu 2.50-2.58
Cu (0.5000, 0.2464, 0.7507)  8 Cu 2.50-2.58

Output
SG = Pmmm
Crystal system = orthorhombic
ΔH_f (0 K) = -45 meV/atom

=====

This record from Alexandria via LeMat-Bulk describes a relaxed NaNd2Cu crystal. The functional is GGA-PBE.

Cell lengths 3.5439, 3.5439, 9.5038 Å; angles 90.00, 90.00, 90.00 degrees
With the nearest neighbours (Å) after each atom.
Fractional coordinates of all 4 atoms:
Na (0.5000, 0.5000, 0.5000)  4 Na 3.54, 8 Nd 3.90
Nd (0.0000, 0.0000, 0.8149)  4 Cu 3.06
Nd (0.0000, 0.0000, 0.1851)  4 Cu 3.06
Cu (0.5000, 0.5000, 0.0000)  8 Nd 3.06

Output
SG = P4/mmm
E above lowest polymorph = 0.0 kJ/mol of atoms
Crystal system = tetragonal
ΔH_f (0 K) = 49 meV/atom

=====

This record from Alexandria via LeMat-Bulk describes a relaxed NaNd2Cu crystal. The functional is GGA-PBE.

Cell lengths 3.5943, 3.5943, 11.5613 Å; angles 81.06, 81.06, 60.00 degrees
With the nearest neighbours (Å) after each atom.
Fractional coordinates of all 4 atoms:
Na (0.0000, 0.0000, 0.0000)  6 Na 3.59, 2 Nd 3.61
Nd (0.1058, 0.1058, 0.6826)  3 Cu 2.94
Nd (0.8942, 0.8942, 0.3174)  3 Cu 2.94
Cu (0.5000, 0.5000, 0.5000)  6 Nd 2.94

Output
SG = R-3m
E above lowest polymorph = 12.9 kJ/mol of atoms
Crystal system = trigonal
ΔH_f (0 K) = 182 meV/atom

=====

This record from Alexandria via LeMat-Bulk describes a relaxed NaNd2Cu2O6 crystal. The functional is GGA-PBE.

Cell lengths 5.7091, 5.7091, 6.7859 Å; angles 65.12, 65.12, 60.00 degrees
With the nearest neighbours (Å) after each atom.
Fractional coordinates of all 11 atoms:
Na (0.0000, 0.0000, 0.0000)  6 O 2.33
Nd (0.7992, 0.7992, 0.6025)  3 O 2.32
Nd (0.2008, 0.2008, 0.3975)  3 O 2.32
Cu (0.4256, 0.4256, 0.7232)  3 O 1.81
Cu (0.5744, 0.5744, 0.2768)  3 O 1.81
O (0.7484, 0.7484, 0.3023)  1 Cu 1.81
O (0.2009, 0.7484, 0.3023)  1 Cu 1.81
O (0.7484, 0.2009, 0.3023)  1 Cu 1.81
O (0.2516, 0.7991, 0.6977)  1 Cu 1.81
O (0.7991, 0.2516, 0.6977)  1 Cu 1.81
O (0.2516, 0.2516, 0.6977)  1 Cu 1.81

Output
SG = R-3m
Uncorrected formation energy = -1563 meV/atom
Crystal system = trigonal

=====

This record from Alexandria via LeMat-Bulk describes a relaxed NaNd2CuO5 crystal. The functional is GGA-PBE.

Cell lengths 5.6192, 6.7503, 6.7503 Å; angles 90.00, 90.00, 90.00 degrees
With the nearest neighbours (Å) after each atom.
Fractional coordinates of all 18 atoms:
Na (0.0000, 0.5000, 0.5000)  10 O 2.81-2.96
Na (0.0000, 0.0000, 0.0000)  10 O 2.81-2.96
Nd (0.5000, 0.6775, 0.1775)  8 O 2.34-2.57
Nd (0.5000, 0.1775, 0.3225)  8 O 2.34-2.57
Nd (0.5000, 0.8225, 0.6775)  8 O 2.34-2.57
Nd (0.5000, 0.3225, 0.8225)  8 O 2.34-2.57
Cu (0.0000, 0.0000, 0.5000)  4 O 1.84
Cu (0.0000, 0.5000, 0.0000)  4 O 1.84
O (0.5000, 0.5000, 0.5000)  4 Nd 2.48
O (0.5000, 0.0000, 0.0000)  4 Nd 2.48
O (0.2390, 0.1311, 0.6311)  1 Cu 1.84
O (0.2390, 0.8689, 0.3689)  1 Cu 1.84
O (0.2390, 0.3689, 0.1311)  1 Cu 1.84
O (0.2390, 0.6311, 0.8689)  1 Cu 1.84
O (0.7610, 0.1311, 0.6311)  1 Cu 1.84
O (0.7610, 0.6311, 0.8689)  1 Cu 1.84
O (0.7610, 0.8689, 0.3689)  1 Cu 1.84
O (0.7610, 0.3689, 0.1311)  1 Cu 1.84

Output
SG = P4/mbm
Uncorrected formation energy = -2243 meV/atom
Crystal system = tetragonal

=====

Number 1: spin magnetization 0.69 μB per atom, E_tot -19.7 eV/f.u.. Number 2: spin magnetization 0.09 μB per atom, E_tot -61.0 eV/f.u.. Number 3: spin magnetization 0.00 μB per atom, E_tot -40.4 eV/f.u.. Number 4: spin magnetization 0.00 μB per atom, E_tot -37.6 eV/f.u.. Number 5: spin magnetization 0.00 μB per atom, E_tot -36.7 eV/f.u.. Number 6: spin magnetization 0.08 μB per atom, E_tot -55.6 eV/f.u.. Number 7: spin magnetization 0.00 μB per atom, E_tot -28.1 eV/f.u.. Number 8: spin magnetization 0.00 μB per atom, E_tot -47.6 eV/f.u.. Number 9: spin magnetization 0.07 μB per atom, E_tot -14.8 eV/f.u.. Number 10: spin magnetization 0.00 μB per atom, E_tot -14.2 eV/f.u.. Number 11: spin magnetization 0.20 μB per atom, E_tot -66.0 eV/f.u.. Number 12: spin magnetization 0.00 μB per atom, E_tot -59.9 eV/f.u..